An optimized crystal structure of CsTeRu3, computed with PBE.

Cell lengths 5.030, 5.030, 5.030 Å; angles 90.00, 90.00, 90.00 degrees
Space group Pm-3m (No. 221)
Symmetry-distinct sites (fractional):
Cs  0.000  0.000  0.000 x1
Te  0.500  0.500  0.500 x1
Ru  0.000  0.500  0.500 x3

Output
Its uncorrected formation energy is 1.421 eV per atom. The calculation puts the relative energy among the computed polymorphs at 0 meV per atom. The density of states at the Fermi level comes out at 9.7 states/eV per cell.

=====

An optimized crystal structure of CsTe2Ru2, computed with PBE.

Cell lengths 4.297, 4.297, 15.315 Å; angles 90.00, 90.00, 90.00 degrees
Space group I4/mmm (No. 139)
Symmetry-distinct sites (fractional):
Cs  0.000  0.000  0.000 x2
Te  0.000  0.000  0.345 x4
Ru  0.000  0.500  0.250 x4

Output
Its uncorrected formation energy is -0.335 eV per atom. The density of states at the Fermi level comes out at 3.8 states/eV per cell.

=====

An optimized crystal structure of Cs2TeRu, computed with PBE.

Cell lengths 8.901, 8.901, 8.901 Å; angles 90.00, 90.00, 90.00 degrees
Space group Fm-3m (No. 225)
Symmetry-distinct sites (fractional):
Cs  0.250  0.250  0.250 x8
Te  0.000  0.000  0.000 x4
Ru  0.000  0.000  0.500 x4

Output
Its uncorrected formation energy is 0.731 eV per atom. The calculation puts the relative energy among the computed polymorphs at 596 meV per atom. The density of states at the Fermi level comes out at 48.1 states/eV per cell.

=====

An optimized crystal structure of Cs3TeRu, computed with PBE.

Cell lengths 5.801, 5.801, 5.801 Å; angles 90.00, 90.00, 90.00 degrees
Space group Pm-3m (No. 221)
Symmetry-distinct sites (fractional):
Cs  0.000  0.000  0.500 x3
Te  0.500  0.500  0.500 x1
Ru  0.000  0.000  0.000 x1

Output
Its uncorrected formation energy is 0.355 eV per atom. The calculation puts the relative energy among the computed polymorphs at 0 meV per atom. The density of states at the Fermi level comes out at 4.5 states/eV per cell.

=====

An optimized crystal structure of Cs2TeRu, computed with PBE.

Cell lengths 13.248, 13.248, 5.031 Å; angles 90.00, 90.00, 90.00 degrees
Space group I-42d (No. 122)
Symmetry-distinct sites (fractional):
Cs  0.064  0.750  0.125 x8
Te  0.000  0.000  0.500 x4
Ru  0.000  0.000  0.000 x4

Output
Its uncorrected formation energy is 0.135 eV per atom. The calculation puts the relative energy among the computed polymorphs at 0 meV per atom. The density of states at the Fermi level comes out at 17.4 states/eV per cell.

=====

An optimized crystal structure of CsTeRu3, computed with PBE.

Cell lengths 4.968, 4.968, 4.968 Å; angles 90.00, 90.00, 90.00 degrees
Space group Pm-3m (No. 221)
Symmetry-distinct sites (fractional):
Cs  0.000  0.000  0.000 x1
Te  0.500  0.500  0.500 x1
Ru  0.000  0.000  0.500 x3

Output
Its uncorrected formation energy is 2.675 eV per atom. The calculation puts the relative energy among the computed polymorphs at 1255 meV per atom. The density of states at the Fermi level comes out at 10.1 states/eV per cell.

=====

An optimized crystal structure of CsZrTe2Ru, computed with PBE.

Cell lengths 5.401, 5.401, 5.188 Å; angles 90.00, 90.00, 90.00 degrees
Space group P4/mmm (No. 123)
Symmetry-distinct sites (fractional):
Cs  0.000  0.000  0.000 x1
Zr  0.500  0.500  0.000 x1
Te  0.000  0.500  0.500 x2
Ru  0.000  0.000  0.500 x1

Output
Its uncorrected formation energy is 0.734 eV per atom. The density of states at the Fermi level comes out at 4.7 states/eV per cell.

=====

An optimized crystal structure of Cs2TiRu, computed with PBE.

Cell lengths 13.884, 13.884, 4.474 Å; angles 90.00, 90.00, 90.00 degrees
Space group I-42d (No. 122)
Symmetry-distinct sites (fractional):
Cs  0.071  0.750  0.125 x8
Ti  0.000  0.000  0.500 x4
Ru  0.000  0.000  0.000 x4

Output
The calculation puts the relative energy among the computed polymorphs at 0 meV per atom. The formation energy is 343 kJ/mol of formula units. The density of states at the Fermi level comes out at 20.9 states/eV per cell.

=====

What is the formula in the seventh record?
CsZrTe2Ru